# Li2SiH PBE relaxed
data_Li2SiH
_chemical_formula_sum 'Li6 Si3 H3'
_symmetry_space_group_name_H-M 'R -3 m'
_symmetry_Int_Tables_number 166
_symmetry_space_group_name_Hall '-R 3 2"'
_cell_length_a 2.7693
_cell_length_b 2.7693
_cell_length_c 20.1335
_cell_angle_alpha 90.00
_cell_angle_beta 90.00
_cell_angle_gamma 120.00
loop_
_atom_site_label
_atom_site_fract_x
_atom_site_fract_y
_atom_site_fract_z
Li1 0.0000 0.0000 0.2237
Si1 0.0000 0.0000 0.0000
H1 0.0000 0.0000 0.5000
# DOS at the Fermi energy = 6.276 states/eV per cell
# Magnetic moment = 0.00 μB per formula unit
# Final energy = -3.315 eV/atom